[1]
A relaxed structure of Th2ReWN6, computed with PBE-GGA. Values from VASP.

```
&SYSTEM
  ibrav = 0, nat = 10, ntyp = 4
/
ATOMIC_SPECIES
Re 186.21 Re.upf
Th 232.04 Th.upf
N 14.01 N.upf
W 183.84 W.upf
CELL_PARAMETERS angstrom
-2.637 2.698 -1.298
-4.209 -3.078 2.153
0.454 2.793 4.880
ATOMIC_POSITIONS crystal
Re 0.664 0.500 0.500
Th 0.090 0.500 0.000
N 0.666 0.249 0.751
N 0.161 0.500 0.500
N 0.666 0.249 0.249
N 0.666 0.751 0.249
N 0.146 0.000 0.000
W 0.633 0.000 0.000
Th 0.090 0.000 0.500
N 0.666 0.751 0.751
```

Summary:
* V: 12.70 Å³/atom
* size of the total moment: 0.0 Bohr magnetons per cell
* raw formation energy: -0.899 eV/atom
* total DFT energy (no corrections): -99.19 eV per cell
* crystal system: tetragonal

***

[2]
A relaxed structure of Ti4ReN2, computed with PBE-GGA. Values from VASP.

```
&SYSTEM
  ibrav = 0, nat = 14, ntyp = 3
/
ATOMIC_SPECIES
Ti 47.87 Ti.upf
N 14.01 N.upf
Re 186.21 Re.upf
CELL_PARAMETERS angstrom
-2.065 0.905 -2.126
2.963 -3.949 -2.301
-7.104 -7.492 3.710
ATOMIC_POSITIONS crystal
Ti 0.916 0.832 0.750
N 0.865 0.731 0.558
Ti 0.233 0.466 0.895
Ti 0.233 0.466 0.605
Re 0.395 0.790 0.250
Ti 0.767 0.534 0.105
Ti 0.500 0.000 0.500
Re 0.605 0.210 0.750
Ti 0.767 0.534 0.395
N 0.135 0.269 0.442
Ti 0.500 0.000 0.000
N 0.865 0.731 0.942
N 0.135 0.269 0.058
Ti 0.084 0.168 0.250
```

Summary:
* V: 12.68 Å³/atom
* size of the total moment: 0.0 Bohr magnetons per cell
* raw formation energy: -1.028 eV/atom
* total DFT energy (no corrections): -135.76 eV per cell
* crystal system: orthorhombic

***

[3]
A relaxed structure of TiRe2N2, computed with PBE-GGA. Values from VASP.

```
&SYSTEM
  ibrav = 0, nat = 10, ntyp = 3
/
ATOMIC_SPECIES
N 14.01 N.upf
Re 186.21 Re.upf
Ti 47.87 Ti.upf
CELL_PARAMETERS angstrom
-2.143 5.142 -0.523
-5.100 -2.012 1.122
0.590 0.635 3.823
ATOMIC_POSITIONS crystal
N 0.176 0.676 0.000
Re 0.327 0.173 0.500
Ti 0.500 0.500 0.000
N 0.824 0.324 0.000
Re 0.673 0.827 0.500
N 0.676 0.824 0.000
Re 0.173 0.673 0.500
N 0.324 0.176 0.000
Re 0.827 0.327 0.500
Ti 0.000 0.000 0.000
```

Summary:
* V: 12.27 Å³/atom
* size of the total moment: 0.0 Bohr magnetons per cell
* polymorph energy (0 for the lowest one): 0.0000 eV/atom
* raw formation energy: -0.400 eV/atom
* total DFT energy (no corrections): -102.88 eV per cell
* crystal system: tetragonal

***

[4]
A relaxed structure of TiReN2, computed with PBE-GGA. Values from VASP.

```
&SYSTEM
  ibrav = 0, nat = 8, ntyp = 3
/
ATOMIC_SPECIES
Re 186.21 Re.upf
Ti 47.87 Ti.upf
N 14.01 N.upf
CELL_PARAMETERS angstrom
-4.039 1.298 1.655
0.987 -1.994 3.974
0.403 3.685 4.359
ATOMIC_POSITIONS crystal
Re 0.750 0.250 0.500
Ti 0.500 0.500 0.000
N 0.121 0.625 0.250
N 0.875 0.879 0.750
Re 0.000 0.000 0.000
Ti 0.250 0.750 0.500
N 0.629 0.125 0.250
N 0.375 0.371 0.750
```

Summary:
* V: 12.26 Å³/atom
* size of the total moment: 0.0 Bohr magnetons per cell
* polymorph energy (0 for the lowest one): 0.0000 eV/atom
* raw formation energy: -0.470 eV/atom
* total DFT energy (no corrections): -77.74 eV per cell
* crystal system: tetragonal

***

[5]
A relaxed structure of Ti8ReN2, computed with PBE-GGA. Values from VASP.

```
&SYSTEM
  ibrav = 0, nat = 11, ntyp = 3
/
ATOMIC_SPECIES
Ti 47.87 Ti.upf
N 14.01 N.upf
Re 186.21 Re.upf
CELL_PARAMETERS angstrom
-2.923 -0.755 3.178
-3.853 -0.958 -4.762
3.610 -4.905 1.164
ATOMIC_POSITIONS crystal
Ti 0.307 0.603 0.603
Ti 0.067 0.336 0.077
N 0.000 0.693 0.307
Ti 0.500 0.752 0.248
Ti 0.067 0.077 0.336
Ti 0.933 0.664 0.923
Re 0.500 0.000 0.000
Ti 0.933 0.923 0.664
Ti 0.500 0.248 0.752
Ti 0.693 0.397 0.397
N 0.000 0.307 0.693
```

Summary:
* V: 13.83 Å³/atom
* size of the total moment: 0.0 Bohr magnetons per cell
* raw formation energy: -0.469 eV/atom
* total DFT energy (no corrections): -97.42 eV per cell
* crystal system: monoclinic

***

[6]
A relaxed structure of TiReN2, computed with PBE-GGA. Values from VASP.

```
&SYSTEM
  ibrav = 0, nat = 4, ntyp = 3
/
ATOMIC_SPECIES
N 14.01 N.upf
Ti 47.87 Ti.upf
Re 186.21 Re.upf
CELL_PARAMETERS angstrom
-2.130 5.425 2.567
0.711 5.345 3.388
-0.023 6.330 0.697
ATOMIC_POSITIONS crystal
N 0.104 0.104 0.104
Ti 0.500 0.500 0.500
N 0.896 0.896 0.896
Re 0.000 0.000 0.000
```

Summary:
* V: 11.63 Å³/atom
* size of the total moment: 0.0 Bohr magnetons per cell
* polymorph energy (0 for the lowest one): 0.0147 eV/atom
* raw formation energy: -0.455 eV/atom
* total DFT energy (no corrections): -38.81 eV per cell
* crystal system: trigonal

***

[7]
A relaxed structure of Ti3ReN, computed with PBE-GGA. Values from VASP.

```
&SYSTEM
  ibrav = 0, nat = 5, ntyp = 3
/
ATOMIC_SPECIES
Re 186.21 Re.upf
Ti 47.87 Ti.upf
N 14.01 N.upf
CELL_PARAMETERS angstrom
4.716 0.000 0.000
0.000 4.716 0.000
0.000 0.000 4.716
ATOMIC_POSITIONS crystal
Re 0.000 0.000 0.000
Ti 0.000 0.500 0.000
Ti 0.000 0.000 0.500
Ti 0.500 0.000 0.000
N 0.500 0.500 0.500
```

Summary:
* V: 20.98 Å³/atom
* size of the total moment: 0.0 Bohr magnetons per cell
* polymorph energy (0 for the lowest one): 2.3410 eV/atom
* raw formation energy: 1.589 eV/atom
* total DFT energy (no corrections): -36.52 eV per cell
* crystal system: cubic

***

[8]
A relaxed structure of TiRe2N2, computed with PBE-GGA. Values from VASP.

```
&SYSTEM
  ibrav = 0, nat = 5, ntyp = 3
/
ATOMIC_SPECIES
N 14.01 N.upf
Ti 47.87 Ti.upf
Re 186.21 Re.upf
CELL_PARAMETERS angstrom
3.858 0.000 0.000
0.000 3.858 0.000
1.929 1.929 4.391
ATOMIC_POSITIONS crystal
N 0.658 0.658 0.683
N 0.342 0.342 0.317
Ti 0.000 0.000 0.000
Re 0.250 0.750 0.500
Re 0.750 0.250 0.500
```

Summary:
* V: 13.07 Å³/atom
* size of the total moment: 0.0 Bohr magnetons per cell
* polymorph energy (0 for the lowest one): 0.8975 eV/atom
* raw formation energy: 0.498 eV/atom
* total DFT energy (no corrections): -46.95 eV per cell
* crystal system: tetragonal

***

[9]
A relaxed structure of TiReN2, computed with PBE-GGA. Values from VASP.

```
&SYSTEM
  ibrav = 0, nat = 4, ntyp = 3
/
ATOMIC_SPECIES
Re 186.21 Re.upf
Ti 47.87 Ti.upf
N 14.01 N.upf
CELL_PARAMETERS angstrom
0.000 2.664 2.664
2.664 0.000 2.664
2.664 2.664 0.000
ATOMIC_POSITIONS crystal
Re 0.500 0.500 0.500
Ti 0.000 0.000 0.000
N 0.250 0.250 0.250
N 0.750 0.750 0.750
```

Summary:
* V: 9.45 Å³/atom
* size of the total moment: 1.0 Bohr magnetons per cell
* polymorph energy (0 for the lowest one): 0.4669 eV/atom
* raw formation energy: -0.003 eV/atom
* total DFT energy (no corrections): -37.00 eV per cell
* crystal system: cubic

***

[10]
A relaxed structure of Ti3ReN, computed with PBE-GGA. Values from VASP.

```
&SYSTEM
  ibrav = 0, nat = 5, ntyp = 3
/
ATOMIC_SPECIES
N 14.01 N.upf
Ti 47.87 Ti.upf
Re 186.21 Re.upf
CELL_PARAMETERS angstrom
-3.462 -1.242 -1.820
1.034 -3.910 0.701
-1.946 0.133 3.611
ATOMIC_POSITIONS crystal
N 0.000 0.000 0.000
Ti 0.500 0.000 0.000
Ti 0.000 0.500 0.000
Ti 0.000 0.000 0.500
Re 0.500 0.500 0.500
```

Summary:
* V: 13.83 Å³/atom
* size of the total moment: 0.0 Bohr magnetons per cell
* polymorph energy (0 for the lowest one): 0.0000 eV/atom
* raw formation energy: -0.752 eV/atom
* total DFT energy (no corrections): -48.22 eV per cell
* crystal system: cubic

***

[11]
A relaxed structure of TiZnReN2, computed with PBE-GGA. Values from VASP.

```
&SYSTEM
  ibrav = 0, nat = 5, ntyp = 4
/
ATOMIC_SPECIES
Re 186.21 Re.upf
N 14.01 N.upf
Zn 65.41 Zn.upf
Ti 47.87 Ti.upf
CELL_PARAMETERS angstrom
-3.318 -1.731 0.738
2.157 -4.335 -0.469
0.825 0.007 3.724
ATOMIC_POSITIONS crystal
Re 0.500 0.500 0.500
N 0.500 0.000 0.000
N 0.000 0.000 0.500
Zn 0.000 0.500 0.000
Ti 0.000 0.000 0.000
```

Summary:
* V: 14.16 Å³/atom
* size of the total moment: 0.0 Bohr magnetons per cell
* raw formation energy: 1.297 eV/atom
* total DFT energy (no corrections): -31.78 eV per cell
* crystal system: tetragonal

***

[12]
A relaxed structure of Zr2TiReN, computed with PBE-GGA. Values from VASP.

```
&SYSTEM
  ibrav = 0, nat = 5, ntyp = 4
/
ATOMIC_SPECIES
Zr 91.22 Zr.upf
Ti 47.87 Ti.upf
Re 186.21 Re.upf
N 14.01 N.upf
CELL_PARAMETERS angstrom
4.570 0.000 0.000
0.000 4.570 0.000
0.000 0.000 3.900
ATOMIC_POSITIONS crystal
Zr 0.000 0.500 0.000
Ti 0.000 0.000 0.500
Zr 0.500 0.000 0.000
Re 0.500 0.500 0.500
N 0.000 0.000 0.000
```

Summary:
* V: 16.29 Å³/atom
* size of the total moment: 0.3 Bohr magnetons per cell
* raw formation energy: -0.705 eV/atom
* total DFT energy (no corrections): -49.29 eV per cell
* crystal system: tetragonal